one:
# NiHgTeN2

Crystalline NiHgTeN2 at its relaxed geometry (PBE, the Alexandria database).

Values from the calculation:
Magnetic moment   4.2 μB/cell

Lattice parameters (Å, degrees): 4.1210 4.1210 6.3995 90.00 90.00 90.00
With the nearest neighbours (Å) after each atom.
Space group P4/mmm (No. 123)
Inequivalent atoms, fractional coordinates:
Ni 0.0000 0.0000 0.0000 [1 per cell]  4 Te 2.91
Hg 0.5000 0.5000 0.5000 [1 per cell]  4 N 2.06
Te 0.5000 0.5000 0.0000 [1 per cell]  4 Ni 2.91, 2 Hg 3.20
N 0.0000 0.5000 0.5000 [2 per cell]  2 Hg 2.06

---

two:
# NiHgTeN2

Crystalline NiHgTeN2 at its relaxed geometry (PBE, the Alexandria database).

Values from the calculation:
Magnetic moment   3.7 μB/cell

Lattice parameters (Å, degrees): 3.9488 3.9488 5.5885 90.00 90.00 90.00
With the nearest neighbours (Å) after each atom.
Space group P4/mmm (No. 123)
Inequivalent atoms, fractional coordinates:
Ni 0.0000 0.0000 0.0000 [1 per cell]  4 N 1.97
Hg 0.5000 0.5000 0.5000 [1 per cell]  4 Te 2.79
Te 0.0000 0.0000 0.5000 [1 per cell]  4 Hg 2.79, 2 Ni 2.79
N 0.0000 0.5000 0.0000 [2 per cell]  2 Ni 1.97

---

So which one is most stable? That would be two, about 78.6 kJ/mol of atoms below the next structure.

---

one:
# Hg2NO

Crystalline Hg2NO at its relaxed geometry (PBE, the Alexandria database).

Values from the calculation:
Magnetic moment   1.8 μB/cell

Lattice parameters (Å, degrees): 5.3074 5.3074 10.3215 90.00 90.00 90.00
With the nearest neighbours (Å) after each atom.
Space group I-42d (No. 122)
Inequivalent atoms, fractional coordinates:
Hg 0.2344 0.2500 0.1250 [8 per cell]  2 N 2.23, 2 O 2.33
N 0.0000 0.0000 0.0000 [4 per cell]  4 Hg 2.23
O 0.0000 0.0000 0.5000 [4 per cell]  4 Hg 2.33

---

two:
# Hg2NO

Crystalline Hg2NO at its relaxed geometry (PBE, the Alexandria database).

Values from the calculation:
Magnetic moment   4.3 μB/cell

Lattice parameters (Å, degrees): 6.0919 6.0919 6.0919 90.00 90.00 90.00
With the nearest neighbours (Å) after each atom.
Space group Fm-3m (No. 225)
Inequivalent atoms, fractional coordinates:
Hg 0.2500 0.2500 0.2500 [8 per cell]  4 O 2.64, 4 N 2.64
N 0.0000 0.0000 0.0000 [4 per cell]  8 Hg 2.64
O 0.0000 0.0000 0.5000 [4 per cell]  8 Hg 2.64

---

So which one is most stable? That would be one, about 42.8 kJ/mol of atoms below the next structure.

---

one:
# HgP2NO

Crystalline HgP2NO at its relaxed geometry (PBE, the Alexandria database).

Values from the calculation:
Magnetic moment   0.0 μB/cell

Lattice parameters (Å, degrees): 4.0780 4.0780 3.9779 90.00 90.00 90.00
With the nearest neighbours (Å) after each atom.
Space group P4/mmm (No. 123)
Inequivalent atoms, fractional coordinates:
Hg 0.0000 0.0000 0.0000 [1 per cell]  8 P 2.85, 4 O 2.88
P 0.0000 0.5000 0.5000 [2 per cell]  2 N 2.04
N 0.5000 0.5000 0.5000 [1 per cell]  2 O 1.99, 4 P 2.04
O 0.5000 0.5000 0.0000 [1 per cell]  2 N 1.99

---

two:
# HgP2NO

Crystalline HgP2NO at its relaxed geometry (PBE, the Alexandria database).

Values from the calculation:
Magnetic moment   0.0 μB/cell

Lattice parameters (Å, degrees): 4.9838 4.9838 4.0121 90.00 90.00 90.00
With the nearest neighbours (Å) after each atom.
Space group P4/mmm (No. 123)
Inequivalent atoms, fractional coordinates:
Hg 0.0000 0.0000 0.0000 [1 per cell]  2 O 2.01
P 0.0000 0.5000 0.0000 [2 per cell]  2 Hg 2.49
N 0.5000 0.5000 0.5000 [1 per cell]  8 P 3.20, 4 O 3.52
O 0.0000 0.0000 0.5000 [1 per cell]  2 Hg 2.01

---

So which one is most stable? That would be one, about 117.2 kJ/mol of atoms below the next structure.

---

one:
# HgS2NO

Crystalline HgS2NO at its relaxed geometry (PBE, the Alexandria database).

Values from the calculation:
Magnetic moment   3.4 μB/cell

Lattice parameters (Å, degrees): 5.1173 5.1173 4.2346 90.00 90.00 90.00
With the nearest neighbours (Å) after each atom.
Space group P4/mmm (No. 123)
Inequivalent atoms, fractional coordinates:
Hg 0.0000 0.0000 0.0000 [1 per cell]  2 N 2.12
S 0.0000 0.5000 0.0000 [2 per cell]  2 Hg 2.56
N 0.0000 0.0000 0.5000 [1 per cell]  2 Hg 2.12
O 0.5000 0.5000 0.5000 [1 per cell]  8 S 3.32, 4 N 3.62

---

two:
# HgS2NO

Crystalline HgS2NO at its relaxed geometry (PBE, the Alexandria database).

Values from the calculation:
Magnetic moment   2.3 μB/cell

Lattice parameters (Å, degrees): 4.2756 4.2756 4.2203 90.00 90.00 90.00
With the nearest neighbours (Å) after each atom.
Space group P4/mmm (No. 123)
Inequivalent atoms, fractional coordinates:
Hg 0.0000 0.0000 0.0000 [1 per cell]  8 S 3.00, 4 N 3.02
S 0.0000 0.5000 0.5000 [2 per cell]  2 O 2.14
N 0.5000 0.5000 0.0000 [1 per cell]  2 O 2.11
O 0.5000 0.5000 0.5000 [1 per cell]  2 N 2.11, 4 S 2.14

---

So which one is most stable? That would be two, about 66.1 kJ/mol of atoms below the next structure.

---

one:
# HgSe2NO

Crystalline HgSe2NO at its relaxed geometry (PBE, the Alexandria database).

Values from the calculation:
Magnetic moment   2.4 μB/cell

Lattice parameters (Å, degrees): 4.5068 4.5068 4.2706 90.00 90.00 90.00
With the nearest neighbours (Å) after each atom.
Space group P4/mmm (No. 123)
Inequivalent atoms, fractional coordinates:
Hg 0.0000 0.0000 0.0000 [1 per cell]  8 Se 3.10, 4 N 3.19
Se 0.0000 0.5000 0.5000 [2 per cell]  2 O 2.25
N 0.5000 0.5000 0.0000 [1 per cell]  2 O 2.14
O 0.5000 0.5000 0.5000 [1 per cell]  2 N 2.14, 4 Se 2.25

---

two:
# HgSe2NO

Crystalline HgSe2NO at its relaxed geometry (PBE, the Alexandria database).

Values from the calculation:
Magnetic moment   6.0 μB/cell

Lattice parameters (Å, degrees): 5.4526 5.4526 4.2094 90.00 90.00 90.00
With the nearest neighbours (Å) after each atom.
Space group P4/mmm (No. 123)
Inequivalent atoms, fractional coordinates:
Hg 0.0000 0.0000 0.0000 [1 per cell]  2 N 2.10
Se 0.0000 0.5000 0.0000 [2 per cell]  2 Hg 2.73
N 0.0000 0.0000 0.5000 [1 per cell]  2 Hg 2.10
O 0.5000 0.5000 0.5000 [1 per cell]  8 Se 3.44, 4 N 3.86

---

So which one is most stable? That would be one, about 53.0 kJ/mol of atoms below the next structure.

---

one:
# HgOs2N2

Crystalline HgOs2N2 at its relaxed geometry (PBE, the Alexandria database).

Values from the calculation:
Magnetic moment   0.0 μB/cell

Lattice parameters (Å, degrees): 7.1761 7.1761 2.6774 90.00 90.00 90.00
With the nearest neighbours (Å) after each atom.
Space group P4/mbm (No. 127)
Inequivalent atoms, fractional coordinates:
Hg 0.0000 0.0000 0.0000 [2 per cell]  2 Hg 2.68, 4 N 2.88
Os 0.1228 0.3772 0.5000 [4 per cell]  4 N 2.17
N 0.1153 0.6153 0.0000 [4 per cell]  4 Os 2.17, 1 N 2.34

---

two:
# HgOs2N2

Crystalline HgOs2N2 at its relaxed geometry (PBE, the Alexandria database).

Values from the calculation:
Magnetic moment   0.0 μB/cell

Lattice parameters (Å, degrees): 3.8348 3.8348 10.0308 90.00 90.00 90.00
With the nearest neighbours (Å) after each atom.
Space group I4/mmm (No. 139)
Inequivalent atoms, fractional coordinates:
Hg 0.0000 0.0000 0.0000 [2 per cell]  8 Os 3.16, 10 N 3.19-3.34
Os 0.0000 0.5000 0.2500 [4 per cell]  4 N 2.09
N 0.0000 0.0000 0.3332 [4 per cell]  4 Os 2.09

---

So which one is most stable? That would be two, about 46.8 kJ/mol of atoms below the next structure.

---

one:
# HgOsSN2

Crystalline HgOsSN2 at its relaxed geometry (PBE, the Alexandria database).

Values from the calculation:
Magnetic moment   0.2 μB/cell

Lattice parameters (Å, degrees): 3.8157 3.8157 5.3519 90.00 90.00 90.00
With the nearest neighbours (Å) after each atom.
Space group P4/mmm (No. 123)
Inequivalent atoms, fractional coordinates:
Hg 0.0000 0.0000 0.0000 [1 per cell]  4 S 2.70
Os 0.5000 0.5000 0.5000 [1 per cell]  4 N 1.91
S 0.5000 0.5000 0.0000 [1 per cell]  2 Os 2.68, 4 Hg 2.70
N 0.0000 0.5000 0.5000 [2 per cell]  2 Os 1.91

---

two:
# HgOsSN2

Crystalline HgOsSN2 at its relaxed geometry (PBE, the Alexandria database).

Values from the calculation:
Magnetic moment   6.1 μB/cell

Lattice parameters (Å, degrees): 3.9750 3.9750 6.1843 90.00 90.00 90.00
With the nearest neighbours (Å) after each atom.
Space group P4/mmm (No. 123)
Inequivalent atoms, fractional coordinates:
Hg 0.0000 0.0000 0.0000 [1 per cell]  4 N 1.99
Os 0.5000 0.5000 0.5000 [1 per cell]  4 S 2.81
S 0.0000 0.0000 0.5000 [1 per cell]  4 Os 2.81, 2 Hg 3.09
N 0.0000 0.5000 0.0000 [2 per cell]  2 Hg 1.99

---

So which one is most stable? That would be one, about 209.1 kJ/mol of atoms below the next structure.

---

one:
# SrHgOsN2

Crystalline SrHgOsN2 at its relaxed geometry (PBE, the Alexandria database).

Values from the calculation:
Magnetic moment   3.5 μB/cell

Lattice parameters (Å, degrees): 4.3415 4.3415 6.0795 90.00 90.00 90.00
With the nearest neighbours (Å) after each atom.
Space group P4/mmm (No. 123)
Inequivalent atoms, fractional coordinates:
Sr 0.0000 0.0000 0.0000 [1 per cell]  2 Hg 3.04, 4 Os 3.07
Hg 0.0000 0.0000 0.5000 [1 per cell]  4 N 2.17
Os 0.5000 0.5000 0.0000 [1 per cell]  4 Sr 3.07
N 0.0000 0.5000 0.5000 [2 per cell]  2 Hg 2.17

---

two:
# SrHgOsN2

Crystalline SrHgOsN2 at its relaxed geometry (PBE, the Alexandria database).

Values from the calculation:
Magnetic moment   7.3 μB/cell

Lattice parameters (Å, degrees): 4.6983 4.6983 6.4490 90.00 90.00 90.00
With the nearest neighbours (Å) after each atom.
Space group P4/mmm (No. 123)
Inequivalent atoms, fractional coordinates:
Sr 0.0000 0.0000 0.0000 [1 per cell]  4 N 2.35
Hg 0.5000 0.5000 0.5000 [1 per cell]  4 Os 3.32
Os 0.0000 0.0000 0.5000 [1 per cell]  2 Sr 3.22, 4 Hg 3.32
N 0.0000 0.5000 0.0000 [2 per cell]  2 Sr 2.35

---

So which one is most stable? That would be two, about 9.6 kJ/mol of atoms below the next structure.